Entry 1:
Sc3Te2O2 | PBE | relaxed

Electronic total energy = -7.08 eV per atom
Excess energy over the best structure of this formula in the dataset = 176.4 meV per atom
N(E_F) = 0.417 states/eV/atom
Symmetry = P-1 (2)

Cell lengths 3.3046, 5.2984, 9.5159 Å; angles 98.80, 90.04, 108.15 degrees
Closest atoms and distances in Å follow each position.
Fractional coordinates of all 7 atoms:
Sc  0.0000  0.0000  0.0000  4 O 2.22
Sc  0.2270  0.4544  0.8506  3 O 2.15-2.21
Sc  0.7730  0.5456  0.1494  3 O 2.15-2.21
Te  0.1091  0.2173  0.3074  3 Sc 2.92-2.95
Te  0.8909  0.7827  0.6926  3 Sc 2.92-2.95
O  0.3664  0.7329  0.0472  5 Sc 2.15-2.22
O  0.6336  0.2671  0.9528  5 Sc 2.15-2.22

Entry 2:
SrAsCl | PBE | relaxed

Electronic total energy = -3.74 eV per atom
Excess energy over the best structure of this formula in the dataset = 0.0 meV per atom
N(E_F) = 0.361 states/eV/atom
Symmetry = I4mm (107)

Cell lengths 3.5061, 3.5061, 15.5018 Å; angles 90.00, 90.00, 90.00 degrees
Closest atoms and distances in Å follow each position.
Fractional coordinates of all 6 atoms:
Sr  0.0000  0.0000  0.0000  4 Cl 2.93
Sr  0.5000  0.5000  0.5000  4 Cl 2.93
As  0.0000  0.0000  0.3512  4 Sr 3.39, 4 As 3.51
As  0.5000  0.5000  0.8512  4 Sr 3.39, 4 As 3.51
Cl  0.0000  0.0000  0.6003  4 Sr 2.93
Cl  0.5000  0.5000  0.1003  4 Sr 2.93

| no. | spin magnetization (μB/f.u.) |
| --- | --- |
| 1 | 0.000 |
| 2 | 0.000 |